K3Y2FeO6 | PBE with a Hubbard U | relaxed

Space-group type: No. 12
Uncorrected energy (eV per atom): -6.584

abc: 5.843 5.843 6.516
angles: 98.56 98.56 120.01
Each line ends with the local moment (μB).
Fractional coordinates of all 12 atoms:
1 K 0.163 0.837 0.500  0.00
2 K 0.837 0.163 0.500  0.00
3 K 0.500 0.500 0.500  0.00
4 Y 0.333 0.667 0.000  0.01
5 Y 0.667 0.333 0.000  0.01
6 Fe 0.000 0.000 0.000  4.30
7 O 0.939 0.626 0.817  0.08
8 O 0.748 0.748 0.182  0.08
9 O 0.061 0.374 0.183  0.08
10 O 0.626 0.939 0.817  0.08
11 O 0.252 0.252 0.818  0.08
12 O 0.374 0.061 0.183  0.08